VASP calculation (PBEsol) on a relaxed Li17Zn12 crystal.

Results
Energy relative to the elements in eV/atom: -0.14
Crystal system: cubic

Cell: 9.6321 9.6321 9.6321 Å, 90.00 90.00 90.00°
Closest atoms and distances in Å follow each position.
Space group I-43m (No. 217)
Unique sites:
Li (0.0000, 0.0000, 0.0000) x2  12 Zn 2.95, 4 Li 2.98
Li (0.0489, 0.3626, 0.6374) x24  7 Li 2.68-2.94, 5 Zn 2.69-2.80
Li (0.1785, 0.1785, 0.1785) x8  4 Li 2.68-2.98, 6 Zn 2.89
Zn (0.0915, 0.0915, 0.7225) x24  3 Zn 2.49-2.53, 3 Li 2.69-2.77